# Sr2GaPN4 (PBE, relaxed)
data_Sr2GaPN4
_space_group_name_H-M_alt 'P 1'
_space_group_IT_number 1
_space_group_name_Hall 'P 1'
_cell_length_a 11.134
_cell_length_b 10.002
_cell_length_c 5.947
_cell_angle_alpha 84.48
_cell_angle_beta 63.40
_cell_angle_gamma 32.12
loop_
_atom_site_label
_atom_site_fract_x
_atom_site_fract_y
_atom_site_fract_z
Sr1 0.055 0.055 0.695
Sr2 0.305 0.305 0.945
Sr3 0.695 0.695 0.055
Sr4 0.945 0.945 0.305
Ga1 0.125 0.125 0.125
Ga2 0.875 0.875 0.875
P1 0.375 0.375 0.375
P2 0.625 0.625 0.625
N1 0.024 0.636 0.537
N2 0.303 0.537 0.636
N3 0.364 0.976 0.697
N4 0.463 0.697 0.976
N5 0.537 0.303 0.024
N6 0.636 0.024 0.303
N7 0.697 0.463 0.364
N8 0.976 0.364 0.463
# ΔE_f (raw), eV per atom: -0.53
# Calculated density, g/cm3: 4.4
# Magnetization, μB/f.u.: 0.0

# Mg2NbPb2 (PBE, relaxed)
data_Mg2NbPb2
_space_group_name_H-M_alt 'P 1'
_space_group_IT_number 1
_space_group_name_Hall 'P 1'
_cell_length_a 7.700
_cell_length_b 7.700
_cell_length_c 4.025
_cell_angle_alpha 90.00
_cell_angle_beta 90.00
_cell_angle_gamma 90.00
loop_
_atom_site_label
_atom_site_fract_x
_atom_site_fract_y
_atom_site_fract_z
Mg1 0.157 0.343 0.000
Mg2 0.343 0.843 0.000
Mg3 0.657 0.157 0.000
Mg4 0.843 0.657 0.000
Nb1 0.000 0.000 0.500
Nb2 0.500 0.500 0.500
Pb1 0.150 0.650 0.500
Pb2 0.350 0.150 0.500
Pb3 0.650 0.850 0.500
Pb4 0.850 0.350 0.500
# Energy above the most stable polymorph in this dataset, meV/atom: 0
# DFT formation energy, meV per atom: 335
# Calculated density, g/cm3: 7.7
# Magnetization, μB/f.u.: 0.0

# K2TaOs (PBE, relaxed)
data_K2TaOs
_space_group_name_H-M_alt 'P 1'
_space_group_IT_number 1
_space_group_name_Hall 'P 1'
_cell_length_a 3.382
_cell_length_b 3.382
_cell_length_c 11.022
_cell_angle_alpha 90.00
_cell_angle_beta 90.00
_cell_angle_gamma 90.00
loop_
_atom_site_label
_atom_site_fract_x
_atom_site_fract_y
_atom_site_fract_z
K1 0.000 0.000 0.000
K2 0.500 0.500 0.394
Ta1 0.500 0.500 0.723
Os1 0.000 0.000 0.631
# Energy above the most stable polymorph in this dataset, meV/atom: 0
# DFT formation energy, meV per atom: 600
# Calculated density, g/cm3: 5.9
# Magnetization, μB/f.u.: 0.0

Calculated uncorrected energy (eV for the cell shown), listed in the same order as above: -98.66; -38.00; -22.88